Model i:
Here is a relaxed structure of TlPW from Alexandria via LeMat-Bulk. Energies are from GGA-PBE.

Lattice parameters (Å, degrees): 4.125 4.125 3.941 90.00 90.00 120.00
Element x y z (fractional)
Tl (0.000, 0.000, 0.000)
P (0.667, 0.333, 0.500)
W (0.333, 0.667, 0.500)

Model ii:
Here is a relaxed structure of TlPW from Alexandria via LeMat-Bulk. Energies are from GGA-PBE.

Lattice parameters (Å, degrees): 4.432 4.432 4.432 60.00 60.00 60.00
Element x y z (fractional)
Tl (0.000, 0.000, 0.000)
P (0.500, 0.500, 0.500)
W (0.250, 0.250, 0.250)

Model iii:
Here is a relaxed structure of TlPW from Alexandria via LeMat-Bulk. Energies are from GGA-PBE.

Lattice parameters (Å, degrees): 4.349 4.349 4.349 60.00 60.00 60.00
Element x y z (fractional)
Tl (0.000, 0.000, 0.000)
P (0.750, 0.750, 0.750)
W (0.500, 0.500, 0.500)

Which of them is the least stable? Correct choice: model ii.

Model i:
Here is a relaxed structure of Y2TlP2 from Alexandria via LeMat-Bulk. Energies are from GGA-PBE.

Lattice parameters (Å, degrees): 5.984 5.984 5.984 130.01 130.01 73.39
Element x y z (fractional)
Y (0.250, 0.750, 0.500)
Y (0.750, 0.250, 0.500)
Tl (0.000, 0.000, 0.000)
P (0.383, 0.383, 0.000)
P (0.617, 0.617, 0.000)

Model ii:
Here is a relaxed structure of Y2TlP2 from Alexandria via LeMat-Bulk. Energies are from GGA-PBE.

Lattice parameters (Å, degrees): 7.812 7.812 3.704 90.00 90.00 90.00
Element x y z (fractional)
Y (0.156, 0.344, 0.000)
Y (0.344, 0.844, 0.000)
Y (0.656, 0.156, 0.000)
Y (0.844, 0.656, 0.000)
Tl (0.000, 0.000, 0.500)
Tl (0.500, 0.500, 0.500)
P (0.145, 0.645, 0.500)
P (0.355, 0.145, 0.500)
P (0.645, 0.855, 0.500)
P (0.855, 0.355, 0.500)

Which of them is the least stable? Correct choice: model i.